Below is a geometry-optimized VAs2F2 structure, with properties calculated at the PBE+U level.

Values from the calculation:
**Magnetization**: 4.1 Bohr magnetons per cell
**Excess energy over the best structure of this formula in the dataset**: 413 meV per atom

a b c (Å): 3.419 3.419 12.330
angles (deg): 90.00 90.00 90.00
Space group I4/mmm (No. 139)
One atom of each set of equivalent atoms:
V1 0.000 0.000 0.000 (multiplicity 2)
As1 0.000 0.000 0.388 (multiplicity 4)
F1 0.000 0.500 0.250 (multiplicity 4)